No. 1
11
Lattice="4.0383 -6.0300 0.0000 4.0383 6.0300 0.0000 -1.0496 0.0000 6.7362" Properties=species:S:1:pos:R:3 comment="Hf2Bi2S7, optimized geometry, DFT GGA-PBE" raw_formation_energy_ev_per_atom=-0.873 crystal_system=monoclinic pbc="T T T"
Hf 1.7559 0.0000 0.7286
Hf 5.2711 0.0000 6.0075
Bi 3.5135 3.7360 3.3681
Bi 3.5135 -3.7360 3.3681
S -0.2753 0.0000 5.1865
S 1.8398 2.1628 1.8604
S 1.8398 -2.1628 1.8604
S 4.0383 0.0000 0.0000
S 5.1872 2.1628 4.8757
S 5.1872 -2.1628 4.8757
S 7.3023 0.0000 1.5497

---

No. 2
18
Lattice="4.1528 2.3976 6.3679 -4.1528 2.3976 6.3679 0.0000 -4.7952 6.3679" Properties=species:S:1:pos:R:3 comment="Ba2Si3PdPt12, optimized geometry, DFT GGA-PBE" raw_formation_energy_ev_per_atom=-0.287 crystal_system=trigonal pbc="T T T"
Ba 0.0000 0.0000 2.1753
Ba 0.0000 0.0000 16.9283
Si -2.0764 -1.1988 6.3679
Si -2.0764 1.1988 12.7357
Si 0.0000 2.3976 6.3679
Pd 0.0000 0.0000 9.5518
Pt -2.0656 -1.1926 8.6787
Pt 0.0000 -2.1132 5.7180
Pt -1.8301 1.0566 5.7180
Pt 0.0000 -2.3851 10.4249
Pt -2.0656 1.1926 10.4249
Pt -1.8301 -1.0566 13.3856
Pt 1.8301 1.0566 5.7180
Pt 2.0656 -1.1926 8.6787
Pt 0.0000 2.3851 8.6787
Pt 1.8301 -1.0566 13.3856
Pt 0.0000 2.1132 13.3856
Pt 2.0656 1.1926 10.4249

---

No. 3
16
Lattice="5.0636 0.0000 0.0000 0.0000 5.0636 0.0000 0.0000 0.0000 20.4444" Properties=species:S:1:pos:R:3 comment="La12PuTl3, optimized geometry, DFT GGA-PBE" formation_enthalpy_0k_ev_per_atom=-0.155 crystal_system=tetragonal pbc="T T T"
La 0.0000 0.0000 0.0000
La 0.0000 0.0000 5.0893
La 0.0000 0.0000 10.2222
La 0.0000 0.0000 15.3551
La 0.0000 2.5318 2.5365
La 0.0000 2.5318 7.6653
La 0.0000 2.5318 12.7790
La 0.0000 2.5318 17.9078
La 2.5318 0.0000 2.5365
La 2.5318 0.0000 7.6653
La 2.5318 0.0000 12.7790
La 2.5318 0.0000 17.9078
Pu 2.5318 2.5318 0.0000
Tl 2.5318 2.5318 5.1388
Tl 2.5318 2.5318 10.2222
Tl 2.5318 2.5318 15.3056

---

No. 4
6
Lattice="2.2912 -3.9697 0.0000 2.2912 3.9697 0.0000 -1.5744 0.0000 4.3872" Properties=species:S:1:pos:R:3 comment="ZnReNi, optimized geometry, DFT GGA-PBE" formation_enthalpy_0k_ev_per_atom=0.041 relative_energy_kj_per_mol_atoms=4.02 crystal_system=monoclinic pbc="T T T"
Zn 0.0000 0.0000 0.0000
Zn 1.5040 -2.6222 2.1936
Re 1.5040 2.6376 2.1936
Re 1.5040 0.0039 2.1936
Ni 2.2912 1.3170 0.0000
Ni 2.2912 -1.2568 0.0000

---

No. 5
10
Lattice="3.3773 0.0000 0.0000 0.0000 3.3773 0.0000 0.0000 0.0000 17.8020" Properties=species:S:1:pos:R:3 comment="TlCd4Au5, optimized geometry, DFT GGA-PBE" formation_enthalpy_0k_ev_per_atom=-0.119 crystal_system=tetragonal pbc="T T T"
Tl 0.0000 0.0000 0.0000
Cd 0.0000 0.0000 3.7809
Cd 0.0000 0.0000 7.1952
Cd 0.0000 0.0000 10.6068
Cd 0.0000 0.0000 14.0211
Au 1.6887 1.6887 2.0981
Au 1.6887 1.6887 5.4995
Au 1.6887 1.6887 8.9010
Au 1.6887 1.6887 12.3025
Au 1.6887 1.6887 15.7039

---

No. 6
5
Lattice="5.2411 0.0000 0.0000 0.0000 5.2411 0.0000 0.0000 0.0000 5.2411" Properties=species:S:1:pos:R:3 comment="LaPr3H, optimized geometry, DFT GGA-PBE" crystal_system=cubic pbc="T T T"
La 0.0000 0.0000 0.0000
Pr 0.0000 2.6205 2.6205
Pr 2.6205 0.0000 2.6205
Pr 2.6205 2.6205 0.0000
H 2.6205 2.6205 2.6205

---

No. 7
8
Lattice="2.5400 1.4665 8.2642 -2.5400 1.4665 8.2642 0.0000 -2.9329 8.2642" Properties=species:S:1:pos:R:3 comment="Er4TlAg2Ir, optimized geometry, DFT GGA-PBE" formation_enthalpy_0k_ev_per_atom=-0.523 crystal_system=trigonal pbc="T T T"
Er 0.0000 0.0000 2.8375
Er 0.0000 0.0000 9.1071
Er 0.0000 0.0000 15.6856
Er 0.0000 0.0000 21.9552
Tl 0.0000 0.0000 12.3963
Ag 0.0000 0.0000 6.0068
Ag 0.0000 0.0000 18.7859
Ir 0.0000 0.0000 0.0000

---

No. 8
5
Lattice="6.0273 0.0000 0.0000 -1.3291 6.1939 0.0000 -1.5781 -3.5488 5.0073" Properties=species:S:1:pos:R:3 comment="PmSn3Hg, optimized geometry, DFT GGA-PBE" formation_enthalpy_0k_ev_per_atom=0.019 relative_energy_kj_per_mol_atoms=33.26 crystal_system=triclinic pbc="T T T"
Pm 0.0000 0.0000 0.0000
Sn -0.7890 -1.7744 2.5037
Sn -0.6645 3.0970 0.0000
Sn -1.4536 1.3225 2.5037
Hg 1.5601 1.3225 2.5037

---

No. 9
5
Lattice="4.1398 0.0000 0.0000 0.0000 4.1398 0.0000 0.0000 0.0000 4.0285" Properties=species:S:1:pos:R:3 comment="OsBrN2F, optimized geometry, DFT GGA-PBE" raw_formation_energy_ev_per_atom=2.582 relative_energy_kj_per_mol_atoms=191.56 crystal_system=tetragonal pbc="T T T"
Os 0.0000 0.0000 0.0000
Br 2.0699 2.0699 2.0142
N 0.0000 2.0699 2.0142
N 2.0699 0.0000 2.0142
F 2.0699 2.0699 0.0000

---

No. 10
4
Lattice="4.5323 -4.3106 0.0000 4.5323 4.3106 0.0000 -0.0225 0.0000 3.2644" Properties=species:S:1:pos:R:3 comment="TlInTe2, optimized geometry, DFT GGA-PBE" raw_formation_energy_ev_per_atom=-0.117 crystal_system=monoclinic pbc="T T T"
Tl 0.0000 0.0000 0.0000
In 4.5323 0.0000 0.0000
Te 2.2549 2.1553 1.6322
Te 2.2549 -2.1553 1.6322

---

No. 11
20
Lattice="-5.7367 5.7367 5.7367 5.7367 -5.7367 5.7367 5.7367 5.7367 -5.7367" Properties=species:S:1:pos:R:3 comment="NdSm12Ho7, optimized geometry, DFT GGA-PBE" formation_enthalpy_0k_ev_per_atom=0.680 relative_energy_kj_per_mol_atoms=55.59 crystal_system=cubic pbc="T T T"
Nd 0.0000 0.0000 0.0000
Sm 5.7367 -2.8138 2.8302
Sm 2.9229 2.9066 0.0000
Sm 8.5505 2.9066 0.0000
Sm 2.8302 5.7367 -2.8138
Sm 2.9066 0.0000 2.9229
Sm 5.7367 2.8138 2.8302
Sm 0.0000 2.9229 2.9066
Sm 2.8302 5.7367 2.8138
Sm 2.9066 0.0000 8.5505
Sm -2.8138 2.8302 5.7367
Sm 2.8138 2.8302 5.7367
Sm 0.0000 8.5505 2.9066
Ho 2.8684 2.8684 -2.8684
Ho 2.8684 -2.8684 2.8684
Ho 5.7367 0.0000 0.0000
Ho -2.8684 2.8684 2.8684
Ho 0.0000 5.7367 0.0000
Ho 0.0000 0.0000 5.7367
Ho 2.8684 2.8684 2.8684

---

No. 12
15
Lattice="4.0341 2.3291 6.6093 -4.0341 2.3291 6.6093 0.0000 -4.6582 6.6093" Properties=species:S:1:pos:R:3 comment="Dy3Er3MgSe8, optimized geometry, DFT GGA-PBE" raw_formation_energy_ev_per_atom=-1.739 crystal_system=trigonal pbc="T T T"
Dy -2.0170 -1.1645 6.6093
Dy -2.0170 1.1645 13.2186
Dy 0.0000 2.3291 6.6093
Er -4.0341 0.0000 9.9139
Er -2.0170 1.1645 3.3046
Er 2.0170 1.1645 3.3047
Mg 0.0000 0.0000 9.9140
Se 0.0000 0.0000 4.9344
Se -1.9804 -1.1434 11.5144
Se 0.0000 -2.2868 8.3135
Se -1.9804 1.1434 8.3135
Se 1.9805 -1.1434 11.5144
Se 0.0000 2.2868 11.5144
Se 1.9804 1.1434 8.3135
Se 0.0000 0.0000 14.8936

---

E_tot values (in eV per atom) by entry order: -6.0144; -5.7199; -5.1904; -6.4603; -2.3602; -4.7019; -4.9204; -3.3931; -3.7027; -2.9641; -3.9923; -5.5370.
Total moment values (in μB/cell) by entry order: 0.00; 0.00; 5.53; 0.00; 0.00; 0.00; 0.00; 0.00; 3.33; 0.00; 0.00; 0.00.